1.
4
Lattice="-0.6236 -3.1931 -0.9156 1.4250 0.9879 -4.4156 5.3096 -1.4362 1.3922" Properties=species:S:1:pos:R:3 comment="OsPb2Cl (PBE-GGA, optimized geometry)" crystal_system=orthorhombic rho_g_cm3=11.7 e_tot_ev_per_fu=-19.23 de_polymorph_mev_per_atom=23 dos_at_fermi_per_ev_atom=0.575 raw_formation_energy_ev_per_atom=0.32 pbc="T T T"
Pb 2.3925 -1.6413 -2.1434
Pb 4.6457 -1.2566 1.2181
Cl 1.9905 -0.5384 0.5219
Os 5.0466 -2.3592 -1.4474

=====

2.
5
Lattice="-4.5567 1.4299 -2.3676 1.9246 -1.6377 -4.6933 -1.9864 -4.8669 0.8836" Properties=species:S:1:pos:R:3 comment="OsPb3Cl (PBE-GGA, optimized geometry)" crystal_system=cubic rho_g_cm3=9.3 e_tot_ev_per_fu=-23.60 de_polymorph_mev_per_atom=0 dos_at_fermi_per_ev_atom=1.253 raw_formation_energy_ev_per_atom=0.12 pbc="T T T"
Pb -2.2783 0.7150 -1.1838
Pb 0.9623 -0.8188 -2.3467
Pb -0.9932 -2.4335 0.4418
Os 0.0000 0.0000 0.0000
Cl -2.3092 -2.5373 -3.0886

=====

3.
4
Lattice="3.3791 0.0000 0.0000 0.0000 6.7199 0.0000 0.0000 0.0000 4.5070" Properties=species:S:1:pos:R:3 comment="OsPb2Cl (PBE-GGA, optimized geometry)" crystal_system=orthorhombic rho_g_cm3=10.4 e_tot_ev_per_fu=-17.41 de_polymorph_mev_per_atom=477 dos_at_fermi_per_ev_atom=0.871 raw_formation_energy_ev_per_atom=0.77 pbc="T T T"
Pb 0.0000 0.0000 0.0000
Pb 1.6896 3.3600 0.0000
Os 0.0000 3.3600 2.2535
Cl 1.6896 0.0000 2.2535

=====

4.
5
Lattice="4.4877 0.0000 0.0000 0.0000 4.4877 0.0000 0.0000 0.0000 4.4877" Properties=species:S:1:pos:R:3 comment="Os3PbCl (PBE-GGA, optimized geometry)" crystal_system=cubic rho_g_cm3=14.9 e_tot_ev_per_fu=-29.34 de_polymorph_mev_per_atom=0 dos_at_fermi_per_ev_atom=1.374 raw_formation_energy_ev_per_atom=1.98 pbc="T T T"
Cl 0.0000 0.0000 0.0000
Os 0.0000 2.2438 0.0000
Os 0.0000 0.0000 2.2438
Os 2.2438 0.0000 0.0000
Pb 2.2438 2.2438 2.2438